Record 1
The following is a PBE calculation of a relaxed structure of SrBIr2, from Alexandria.

Lattice parameters (Å, degrees): 4.957 4.957 13.921 90.00 90.00 90.00
Space group I4_1/amd (No. 141, origin choice 2)
Unique sites:
Sr  0.000  0.250  0.375 [4 per cell]
B  0.000  0.250  0.875 [4 per cell]
Ir  0.000  0.000  0.000 [8 per cell]

Computed properties:
* energy relative to the elements: -61 meV per atom



Record 2
The following is a PBE calculation of a relaxed structure of Zn2HgGe, from Alexandria.

Lattice parameters (Å, degrees): 5.498 5.498 13.951 90.00 90.00 90.00
Space group I-42d (No. 122)
Unique sites:
Zn  0.176  0.250  0.125 [8 per cell]
Hg  0.000  0.000  0.500 [4 per cell]
Ge  0.000  0.000  0.000 [4 per cell]

Computed properties:
* energy relative to the elements: 257 meV per atom



Record 3
The following is a PBE calculation of a relaxed structure of TiZn2CdPb, from Alexandria.

Lattice parameters (Å, degrees): 5.070 5.070 5.591 90.00 90.00 90.00
Space group P4/mmm (No. 123)
Unique sites:
Ti  0.000  0.000  0.000 [1 per cell]
Zn  0.000  0.500  0.500 [2 per cell]
Cd  0.500  0.500  0.000 [1 per cell]
Pb  0.500  0.500  0.500 [1 per cell]

Computed properties:
* energy relative to the elements: 1139 meV per atom



Record 4
The following is a PBE calculation of a relaxed structure of LiSmMgSi, from Alexandria.

Lattice parameters (Å, degrees): 6.842 6.842 6.842 90.00 90.00 90.00
Space group F-43m (No. 216)
Unique sites:
Li  0.000  0.000  0.000 [4 per cell]
Sm  0.250  0.250  0.750 [4 per cell]
Mg  0.250  0.250  0.250 [4 per cell]
Si  0.000  0.000  0.500 [4 per cell]

Computed properties:
* formation energy without anion corrections: -0.25 eV per atom



Record 5
The following is a PBE calculation of a relaxed structure of CrRuRh2, from Alexandria.

Lattice parameters (Å, degrees): 8.920 2.707 4.616 90.00 100.51 90.00
Space group C2/m (No. 12)
Unique sites:
Cr  0.000  0.000  0.000 [2 per cell]
Ru  0.000  0.500  0.500 [2 per cell]
Rh  0.248  0.500  0.248 [4 per cell]

Computed properties:
* energy relative to the elements: 13 meV per atom



Record 6
The following is a PBE calculation of a relaxed structure of AcNdDyTh, from Alexandria.

Lattice parameters (Å, degrees): 8.289 8.289 8.289 90.00 90.00 90.00
Space group F-43m (No. 216)
Unique sites:
Ac  0.000  0.000  0.000 [4 per cell]
Nd  0.250  0.250  0.250 [4 per cell]
Dy  0.250  0.250  0.750 [4 per cell]
Th  0.000  0.000  0.500 [4 per cell]

Computed properties:
* energy relative to the elements: 175 meV per atom



The raw total energy results, record by record, are as follows: -0.48374 -0.11834 -0.13775 -0.26909 -0.61645 -0.37115 Ry/atom.